Record 1
DFT (GGA-PBE) results for a geometry-optimized Ti3CuSn structure.

Unit cell a=5.1328 b=6.3473 c=6.3473 alpha=119.99 beta=90.00 gamma=90.00
With the nearest neighbours (Å) after each atom.
Fractional coordinates of all 10 atoms:
Ti1 0.2500 0.8099 0.1901  2 Cu 2.45, 2 Ti 2.73
Ti2 0.7500 0.6198 0.8098  2 Cu 2.45, 2 Ti 2.73
Ti3 0.7500 0.1901 0.8099  2 Cu 2.45, 2 Ti 2.73
Ti4 0.2500 0.8098 0.6198  2 Cu 2.45, 2 Ti 2.73
Ti5 0.7500 0.1902 0.3802  2 Cu 2.45, 2 Ti 2.73
Ti6 0.2500 0.3802 0.1902  2 Cu 2.45, 2 Ti 2.73
Sn1 0.7500 0.6667 0.3333  12 Ti 3.01-3.18
Sn2 0.2500 0.3333 0.6667  12 Ti 3.01-3.18
Cu1 0.0000 0.0000 0.0000  6 Ti 2.45, 2 Cu 2.57
Cu2 0.5000 0.0000 0.0000  6 Ti 2.45, 2 Cu 2.57

* final energy: -63.3 eV/cell
* calculated formation energy: 14 kJ/mol of formula units
* space-group type: P6_3/mmc, No. 194
* offset from the most stable computed form: 0.0 kJ/mol of formula units

Record 2
DFT (GGA-PBE) results for a geometry-optimized CrH2Au structure.

Unit cell a=2.8421 b=2.8421 c=5.7034 alpha=75.57 beta=75.57 gamma=60.00
With the nearest neighbours (Å) after each atom.
Fractional coordinates of all 4 atoms:
H1 0.2917 0.2917 0.1249  3 Cr 1.80
H2 0.0424 0.0424 0.8727  3 Cr 1.76
Au1 0.4954 0.4954 0.5137  6 H 2.56-2.68, 6 Au 2.84
Cr1 0.6704 0.6704 0.9887  6 H 1.76-1.80

* final energy: -19.0 eV/cell
* space-group type: R3m, No. 160
* offset from the most stable computed form: 7.7 kJ/mol of formula units

Record 3
DFT (GGA-PBE) results for a geometry-optimized LiTaMo3 structure.

Unit cell a=4.8059 b=4.8059 c=4.8059 alpha=90.00 beta=90.00 gamma=90.00
With the nearest neighbours (Å) after each atom.
Fractional coordinates of all 5 atoms:
Mo1 0.5000 0.0000 0.0000  2 Ta 2.40
Mo2 0.0000 0.5000 0.0000  2 Ta 2.40
Mo3 0.0000 0.0000 0.5000  2 Ta 2.40
Li1 0.5000 0.5000 0.5000  12 Mo 3.40
Ta1 0.0000 0.0000 0.0000  6 Mo 2.40

* final energy: -37.5 eV/cell
* calculated formation energy: 849 kJ/mol of formula units
* space-group type: Pm-3m, No. 221
* offset from the most stable computed form: 288.5 kJ/mol of formula units

Record 4
DFT (GGA-PBE) results for a geometry-optimized Sr2Ca2Sb2S structure.

Unit cell a=5.2054 b=5.2054 c=9.3670 alpha=106.13 beta=106.13 gamma=90.00
With the nearest neighbours (Å) after each atom.
Fractional coordinates of all 7 atoms:
Ca1 0.5000 0.0000 0.0000  2 S 2.60
Ca2 0.0000 0.5000 0.0000  2 S 2.60
Sb1 0.6309 0.6309 0.2617  1 Sr 3.34, 4 Ca 3.44
Sb2 0.3691 0.3691 0.7383  1 Sr 3.34, 4 Ca 3.44
Sr1 0.8248 0.8248 0.6496  1 S 3.02, 1 Sb 3.34
Sr2 0.1752 0.1752 0.3504  1 S 3.02, 1 Sb 3.34
S1 0.0000 0.0000 0.0000  4 Ca 2.60

* final energy: -29.1 eV/cell
* formation energy from raw total energies: -1.34 eV/atom
* space-group type: I4/mmm, No. 139

Record 5
DFT (GGA-PBE) results for a geometry-optimized ZrTeMo2 structure.

Unit cell a=4.5947 b=4.5947 c=3.4607 alpha=90.00 beta=90.00 gamma=90.00
With the nearest neighbours (Å) after each atom.
Fractional coordinates of all 4 atoms:
Mo1 0.0000 0.0000 0.0000  4 Zr 2.88, 4 Te 2.88
Mo2 0.5000 0.5000 0.0000  4 Zr 2.88, 4 Te 2.88
Te1 0.5000 0.0000 0.5000  8 Mo 2.88
Zr1 0.0000 0.5000 0.5000  8 Mo 2.88

* final energy: -32.9 eV/cell
* formation energy from raw total energies: 0.12 eV/atom
* space-group type: P4/mmm, No. 123

Record 6
DFT (GGA-PBE) results for a geometry-optimized Tb12FeSb6 structure.

Unit cell a=8.5306 b=8.5306 c=8.5306 alpha=99.44 beta=99.44 gamma=99.44
With the nearest neighbours (Å) after each atom.
Fractional coordinates of all 19 atoms:
Tb1 0.0552 0.9927 0.3068  1 Fe 2.60
Tb2 0.8037 0.5823 0.4502  4 Sb 3.06-3.26
Tb3 0.9927 0.3068 0.0552  1 Fe 2.60
Tb4 0.0073 0.6932 0.9448  1 Fe 2.60
Tb5 0.9448 0.0073 0.6932  1 Fe 2.60
Tb6 0.5498 0.1963 0.4177  4 Sb 3.06-3.26
Tb7 0.5823 0.4502 0.8037  4 Sb 3.06-3.26
Tb8 0.6932 0.9448 0.0073  1 Fe 2.60
Tb9 0.3068 0.0552 0.9927  1 Fe 2.60
Tb10 0.1963 0.4177 0.5498  4 Sb 3.06-3.26
Tb11 0.4177 0.5498 0.1963  4 Sb 3.06-3.26
Tb12 0.4502 0.8037 0.5823  4 Sb 3.06-3.26
Sb1 0.6453 0.3138 0.1199  7 Tb 3.06-3.26
Sb2 0.1199 0.6453 0.3138  7 Tb 3.06-3.26
Sb3 0.6862 0.8801 0.3547  7 Tb 3.06-3.26
Sb4 0.3138 0.1199 0.6453  7 Tb 3.06-3.26
Sb5 0.8801 0.3547 0.6862  7 Tb 3.06-3.26
Sb6 0.3547 0.6862 0.8801  7 Tb 3.06-3.26
Fe1 0.0000 0.0000 0.0000  6 Tb 2.60

* final energy: -100.3 eV/cell
* formation energy from raw total energies: -0.61 eV/atom
* space-group type: R-3, No. 148

Record 7
DFT (GGA-PBE) results for a geometry-optimized LiCuOs structure.

Unit cell a=6.5304 b=6.5304 c=6.5304 alpha=157.54 beta=157.54 gamma=31.97
With the nearest neighbours (Å) after each atom.
Fractional coordinates of all 3 atoms:
Li1 0.3339 0.3339 0.0000  4 Li 2.54, 4 Cu 2.78, 4 Os 2.79
Cu1 0.0023 0.0023 0.0000  4 Cu 2.54, 4 Os 2.71, 4 Li 2.78
Os1 0.6637 0.6637 0.0000  4 Os 2.54, 4 Cu 2.71, 4 Li 2.79

* final energy: -16.4 eV/cell
* calculated formation energy: 79 kJ/mol of formula units
* space-group type: I4mm, No. 107
* offset from the most stable computed form: 24.9 kJ/mol of formula units

Record 8
DFT (GGA-PBE) results for a geometry-optimized K2SiO structure.

Unit cell a=5.3073 b=5.3073 c=5.3073 alpha=60.00 beta=60.00 gamma=60.00
With the nearest neighbours (Å) after each atom.
Fractional coordinates of all 4 atoms:
K1 0.2500 0.2500 0.2500  4 O 3.25, 4 Si 3.25
K2 0.7500 0.7500 0.7500  4 Si 3.25, 4 O 3.25
O1 0.0000 0.0000 0.0000  8 K 3.25
Si1 0.5000 0.5000 0.5000  8 K 3.25

* final energy: -11.2 eV/cell
* formation energy from raw total energies: 0.35 eV/atom
* space-group type: Fm-3m, No. 225
* offset from the most stable computed form: 319.9 kJ/mol of formula units

Record 9
DFT (GGA-PBE) results for a geometry-optimized TaMn2Re structure.

Unit cell a=6.8007 b=6.8007 c=5.4905 alpha=51.73 beta=51.73 gamma=90.00
With the nearest neighbours (Å) after each atom.
Fractional coordinates of all 8 atoms:
Re1 0.7500 0.2500 0.5000  4 Mn 2.41, 2 Ta 2.65
Re2 0.0000 0.0000 0.0000  4 Mn 2.41, 2 Ta 2.65
Ta1 0.2500 0.7500 0.5000  4 Mn 2.58, 2 Re 2.65
Ta2 0.5000 0.5000 0.0000  4 Mn 2.58, 2 Re 2.65
Mn1 0.8750 0.8939 0.7500  2 Re 2.41, 2 Ta 2.58, 2 Mn 2.66
Mn2 0.3750 0.3561 0.7500  2 Re 2.41, 2 Ta 2.58, 2 Mn 2.66
Mn3 0.6439 0.1250 0.2500  2 Re 2.41, 2 Ta 2.58, 2 Mn 2.66
Mn4 0.1061 0.6250 0.2500  2 Re 2.41, 2 Ta 2.58, 2 Mn 2.66

* final energy: -80.6 eV/cell
* calculated formation energy: 225 kJ/mol of formula units
* space-group type: I-42d, No. 122
* offset from the most stable computed form: 233.6 kJ/mol of formula units

Record 10
DFT (GGA-PBE) results for a geometry-optimized LiPrGa structure.

Unit cell a=3.4688 b=4.8158 c=4.8158 alpha=120.00 beta=90.00 gamma=90.00
With the nearest neighbours (Å) after each atom.
Fractional coordinates of all 3 atoms:
Ga1 0.1663 0.0000 0.0000  3 Li 2.78
Li1 0.1670 0.6667 0.3333  3 Ga 2.78
Pr1 0.6666 0.3333 0.6667  6 Li 3.28, 6 Ga 3.28, 2 Pr 3.47

* final energy: -10.7 eV/cell
* calculated formation energy: -99 kJ/mol of formula units
* space-group type: P-6m2, No. 187
* offset from the most stable computed form: 10.2 kJ/mol of formula units

Record 11
DFT (GGA-PBE) results for a geometry-optimized EuIn2Pb structure.

Unit cell a=4.9473 b=4.7502 c=4.7502 alpha=90.00 beta=90.00 gamma=90.00
With the nearest neighbours (Å) after each atom.
Fractional coordinates of all 4 atoms:
In1 0.0000 0.0000 0.5000  4 In 3.36, 4 Pb 3.43, 4 Eu 3.43
In2 0.0000 0.5000 0.0000  4 In 3.36, 4 Pb 3.43, 4 Eu 3.43
Eu1 0.5000 0.0000 0.0000  4 Pb 3.36, 8 In 3.43
Pb1 0.5000 0.5000 0.5000  4 Eu 3.36, 8 In 3.43

* final energy: -21.0 eV/cell
* calculated formation energy: -148 kJ/mol of formula units
* space-group type: P4/mmm, No. 123
* offset from the most stable computed form: 0.0 kJ/mol of formula units

Record 12
DFT (GGA-PBE) results for a geometry-optimized CaMnTe2 structure.

Unit cell a=8.7641 b=8.7641 c=8.7641 alpha=31.89 beta=31.89 gamma=31.89
With the nearest neighbours (Å) after each atom.
Fractional coordinates of all 4 atoms:
Mn1 0.0000 0.0000 0.0000  2 Te 2.55
Ca1 0.5000 0.5000 0.5000  6 Te 3.21
Te1 0.1021 0.1021 0.1021  1 Mn 2.55
Te2 0.8979 0.8979 0.8979  1 Mn 2.55

* final energy: -19.5 eV/cell
* formation energy from raw total energies: -0.51 eV/atom
* space-group type: R-3m, No. 166
* offset from the most stable computed form: 123.5 kJ/mol of formula units

Record 13
DFT (GGA-PBE) results for a geometry-optimized TaMnTc2 structure.

Unit cell a=9.1217 b=9.1217 c=9.1217 alpha=17.41 beta=17.41 gamma=17.41
With the nearest neighbours (Å) after each atom.
Fractional coordinates of all 4 atoms:
Mn1 0.2500 0.2500 0.2500  6 Tc 2.57, 6 Mn 2.76
Tc1 0.5083 0.5083 0.5083  3 Mn 2.57, 6 Tc 2.76
Tc2 0.9917 0.9917 0.9917  3 Mn 2.57, 6 Tc 2.76
Ta1 0.7500 0.7500 0.7500  6 Ta 2.76, 6 Tc 2.94

* final energy: -41.0 eV/cell
* calculated formation energy: 76 kJ/mol of formula units
* space-group type: R-3m, No. 166

Record 14
DFT (GGA-PBE) results for a geometry-optimized Hf2ScTaN structure.

Unit cell a=4.5416 b=4.5416 c=4.2908 alpha=90.00 beta=90.00 gamma=90.00
With the nearest neighbours (Å) after each atom.
Fractional coordinates of all 5 atoms:
Hf1 0.5000 0.0000 0.0000  2 N 2.27
Hf2 0.0000 0.5000 0.0000  2 N 2.27
Ta1 0.0000 0.0000 0.5000  2 N 2.15
N1 0.0000 0.0000 0.0000  2 Ta 2.15, 4 Hf 2.27
Sc1 0.5000 0.5000 0.5000  8 Hf 3.12, 4 Ta 3.21

* final energy: -49.4 eV/cell
* formation energy from raw total energies: -0.60 eV/atom
* space-group type: P4/mmm, No. 123
* offset from the most stable computed form: 20.7 kJ/mol of formula units